(1)
Rb2LaCuC after structural relaxation, computed with PBE-GGA.

Summary:
Calculated total energy ... -2.951 eV per atom
ΔH_f (0 K) ... 104.8 kJ/mol of atoms

Cell lengths 7.143, 3.638, 7.143 Å; angles 90.00, 90.00, 90.00 degrees
Site moments in Bohr magnetons follow the coordinates.
Atoms (fractional coordinates):
La 0.500 0.500 0.500  0.24
C 0.000 0.500 0.000  -0.03
Cu 0.000 0.000 0.000  0.00
Rb 0.500 0.000 0.000  0.02
Rb 0.000 0.000 0.500  0.02

***

(2)
La2CuRhC after structural relaxation, computed with PBE-GGA.

Summary:
Calculated total energy ... -6.392 eV per atom
ΔH_f (0 K) ... -27.6 kJ/mol of atoms

Cell lengths 5.298, 5.298, 3.894 Å; angles 90.00, 90.00, 90.00 degrees
Atoms (fractional coordinates):
Cu 0.500 0.500 0.500
La 0.500 0.000 0.000
La 0.000 0.500 0.000
Rh 0.000 0.000 0.500
C 0.000 0.000 0.000

***

(3)
La2CuRuC after structural relaxation, computed with PBE-GGA.

Summary:
Calculated total energy ... -6.682 eV per atom
ΔH_f (0 K) ... -18.5 kJ/mol of atoms

Cell lengths 5.285, 5.285, 3.899 Å; angles 90.00, 90.00, 90.00 degrees
Atoms (fractional coordinates):
La 0.500 0.000 0.000
La 0.000 0.500 0.000
Cu 0.500 0.500 0.500
Ru 0.000 0.000 0.500
C 0.000 0.000 0.000

***

(4)
La2CuSbC after structural relaxation, computed with PBE-GGA.

Summary:
Calculated total energy ... -5.944 eV per atom

Cell lengths 5.380, 5.380, 3.970 Å; angles 90.00, 90.00, 90.00 degrees
Atoms (fractional coordinates):
Sb 0.500 0.500 0.500
La 0.000 0.500 0.000
La 0.500 0.000 0.000
C 0.000 0.000 0.000
Cu 0.000 0.000 0.500

***

(5)
La2ScCuC after structural relaxation, computed with PBE-GGA.

Summary:
Calculated total energy ... -5.947 eV per atom
ΔH_f (0 K) ... -4.4 kJ/mol of atoms

Cell lengths 5.253, 5.253, 4.412 Å; angles 90.00, 90.00, 90.00 degrees
Atoms (fractional coordinates):
La 0.000 0.500 0.000
La 0.500 0.000 0.000
C 0.000 0.000 0.000
Cu 0.500 0.500 0.500
Sc 0.000 0.000 0.500

***

(6)
La2CuCSe after structural relaxation, computed with PBE-GGA.

Summary:
Calculated total energy ... -6.068 eV per atom

Cell lengths 5.293, 5.293, 3.813 Å; angles 90.00, 90.00, 90.00 degrees
Atoms (fractional coordinates):
C 0.000 0.000 0.000
La 0.000 0.500 0.000
La 0.500 0.000 0.000
Se 0.500 0.500 0.500
Cu 0.000 0.000 0.500